The following is a DFT calculation (PBE) of an optimized crystal structure of Tb3Sm5.

Calculated values
energy relative to the elements	0.026	eV per atom
E above lowest polymorph	0.008	eV/atom

```
data_Tb3Sm5
_cell_length_a 3.663
_cell_length_b 5.775
_cell_length_c 12.676
_cell_angle_alpha 90.00
_cell_angle_beta 90.00
_cell_angle_gamma 90.00
_space_group_name_H-M_alt 'P m m 2'
_space_group_IT_number 25
loop_
_space_group_symop_operation_xyz
'x,y,z'
'-x,-y,z'
'-x,y,z'
'x,-y,z'
loop_
_atom_site_label
_atom_site_type_symbol
_atom_site_fract_x
_atom_site_fract_y
_atom_site_fract_z
Tb1 Tb 0.000 0.000 0.000
Tb2 Tb 0.000 0.500 0.165
Tb3 Tb 0.500 0.000 0.246
Sm1 Sm 0.000 0.000 0.496
Sm2 Sm 0.000 0.500 0.666
Sm3 Sm 0.500 0.000 0.749
Sm4 Sm 0.500 0.500 0.413
Sm5 Sm 0.500 0.500 0.917
```

---

The following is a DFT calculation (PBE) of an optimized crystal structure of TbSm4.

Calculated values
energy relative to the elements	0.650	eV per atom
E above lowest polymorph	0.638	eV/atom

```
data_TbSm4
_cell_length_a 5.763
_cell_length_b 5.763
_cell_length_c 5.763
_cell_angle_alpha 90.00
_cell_angle_beta 90.00
_cell_angle_gamma 90.00
_space_group_name_H-M_alt 'P m -3 m'
_space_group_IT_number 221
_space_group_name_Hall '-P 4 2 3'
loop_
_atom_site_label
_atom_site_type_symbol
_atom_site_fract_x
_atom_site_fract_y
_atom_site_fract_z
Tb1 Tb 0.000 0.000 0.000
Sm1 Sm 0.000 0.000 0.500
Sm2 Sm 0.500 0.500 0.500
```

---

The following is a DFT calculation (PBE) of an optimized crystal structure of Tb3Sm8.

Calculated values
energy relative to the elements	0.491	eV per atom
E above lowest polymorph	0.127	eV/atom

```
data_Tb3Sm8
_cell_length_a 9.7661
_cell_length_b 9.7661
_cell_length_c 13.6341
_cell_angle_alpha 90.00
_cell_angle_beta 90.00
_cell_angle_gamma 120.00
_space_group_name_H-M_alt 'R -3'
_space_group_IT_number 148
_space_group_name_Hall '-R 3'
loop_
_atom_site_label
_atom_site_type_symbol
_atom_site_fract_x
_atom_site_fract_y
_atom_site_fract_z
Tb1 Tb 0.0000 0.5000 0.0000
Sm1 Sm 0.0000 0.0000 0.3830
Sm2 Sm 0.0365 0.2291 0.1136
```

---

The following is a DFT calculation (PBE) of an optimized crystal structure of Tb8Sm.

Calculated values
energy relative to the elements	0.016	eV per atom

```
data_Tb8Sm
_cell_length_a 10.705
_cell_length_b 10.705
_cell_length_c 5.039
_cell_angle_alpha 90.00
_cell_angle_beta 90.00
_cell_angle_gamma 90.00
_space_group_name_H-M_alt 'I 4/m m m'
_space_group_IT_number 139
_space_group_name_Hall '-I 4 2'
loop_
_atom_site_label
_atom_site_type_symbol
_atom_site_fract_x
_atom_site_fract_y
_atom_site_fract_z
Tb1 Tb 0.000 0.334 0.000
Tb2 Tb 0.167 0.167 0.500
Sm1 Sm 0.000 0.000 0.000
```

---

The following is a DFT calculation (PBE) of an optimized crystal structure of Tb5Sm4.

Calculated values
energy relative to the elements	0.015	eV per atom
E above lowest polymorph	0.000	eV/atom

```
data_Tb5Sm4
_cell_length_a 11.902
_cell_length_b 10.770
_cell_length_c 5.071
_cell_angle_alpha 90.00
_cell_angle_beta 115.12
_cell_angle_gamma 90.00
_space_group_name_H-M_alt 'C 1 2/m 1'
_space_group_IT_number 12
loop_
_space_group_symop_operation_xyz
'x,y,z'
'-x,-y,-z'
'-x,y,-z'
'x,-y,z'
'x+1/2,y+1/2,z'
'-x+1/2,-y+1/2,-z'
'-x+1/2,y+1/2,-z'
'x+1/2,-y+1/2,z'
loop_
_atom_site_label
_atom_site_type_symbol
_atom_site_fract_x
_atom_site_fract_y
_atom_site_fract_z
Tb1 Tb 0.000 0.000 0.000
Tb2 Tb 0.000 0.334 0.000
Tb3 Tb 0.166 0.500 0.666
Sm1 Sm 0.167 0.167 0.667
```

---

The following is a DFT calculation (PBE) of an optimized crystal structure of Tb7Sm3.

Calculated values
energy relative to the elements	0.184	eV per atom
E above lowest polymorph	0.169	eV/atom

```
data_Tb7Sm3
_cell_length_a 10.8319
_cell_length_b 10.8319
_cell_length_c 6.4766
_cell_angle_alpha 90.00
_cell_angle_beta 90.00
_cell_angle_gamma 120.00
_space_group_name_H-M_alt 'P 63 m c'
_space_group_IT_number 186
_space_group_name_Hall 'P 6c -2c'
loop_
_atom_site_label
_atom_site_type_symbol
_atom_site_fract_x
_atom_site_fract_y
_atom_site_fract_z
Tb1 Tb 0.0592 0.5296 0.0000
Tb2 Tb 0.1199 0.2398 0.8319
Tb3 Tb 0.3333 0.6667 0.7018
Sm1 Sm 0.2053 0.4107 0.3505
```

---

The following is a DFT calculation (PBE) of an optimized crystal structure of TbSm3.

Calculated values
energy relative to the elements	0.144	eV per atom
E above lowest polymorph	0.130	eV/atom

```
data_TbSm3
_cell_length_a 8.128
_cell_length_b 8.128
_cell_length_c 8.128
_cell_angle_alpha 90.00
_cell_angle_beta 90.00
_cell_angle_gamma 90.00
_space_group_name_H-M_alt 'F m -3 m'
_space_group_IT_number 225
_space_group_name_Hall '-F 4 2 3'
loop_
_atom_site_label
_atom_site_type_symbol
_atom_site_fract_x
_atom_site_fract_y
_atom_site_fract_z
Tb1 Tb 0.000 0.000 0.000
Sm1 Sm 0.000 0.000 0.500
Sm2 Sm 0.250 0.250 0.250
```

---

The following is a DFT calculation (PBE) of an optimized crystal structure of Tb7Sm5.

Calculated values
energy relative to the elements	0.184	eV per atom
E above lowest polymorph	0.182	eV/atom

```
data_Tb7Sm5
_cell_length_a 9.613
_cell_length_b 5.787
_cell_length_c 14.783
_cell_angle_alpha 90.00
_cell_angle_beta 103.98
_cell_angle_gamma 90.00
_space_group_name_H-M_alt 'C 1 2/m 1'
_space_group_IT_number 12
loop_
_space_group_symop_operation_xyz
'x,y,z'
'-x,-y,-z'
'-x,y,-z'
'x,-y,z'
'x+1/2,y+1/2,z'
'-x+1/2,-y+1/2,-z'
'-x+1/2,y+1/2,-z'
'x+1/2,-y+1/2,z'
loop_
_atom_site_label
_atom_site_type_symbol
_atom_site_fract_x
_atom_site_fract_y
_atom_site_fract_z
Tb1 Tb 0.000 0.000 0.000
Tb2 Tb 0.042 0.500 0.713
Tb3 Tb 0.182 0.000 0.582
Tb4 Tb 0.242 0.500 0.172
Sm1 Sm 0.000 0.500 0.500
Sm2 Sm 0.123 0.000 0.300
Sm3 Sm 0.138 0.500 0.937
```

---

Across the entries above, calculated total energy takes the values -4.66 -4.05 -4.20 -4.62 -4.65 -4.47 -4.55 -4.48 eV per atom, respectively.